Entry 1:
## DyTmTh2Se4 (PBE-GGA)

Data for DyTmTh2Se4 after structural relaxation.

```
DyTmTh2Se4
1.0
6.908 0.000 0.000
0.000 4.021 0.000
-2.342 0.000 7.153
Dy Tm Th Se
1 1 2 4
direct
0.000 0.000 0.000 Dy
0.500 0.500 0.000 Tm
0.000 0.500 0.500 Th
0.500 0.000 0.500 Th
0.247 0.500 0.232 Se
0.259 0.000 0.770 Se
0.741 0.000 0.230 Se
0.753 0.500 0.768 Se
```

* formation energy from raw total energies: -12.94 eV per formula unit
* raw total energy: -6.349 eV per atom
* Fermi-level density of states: 0.703 states/eV/atom
* total magnetization: 0.00 μB per atom
* theoretical density: 9.29 g/cm3



Entry 2:
## AcLa9In2 (PBE-GGA)

Data for AcLa9In2 after structural relaxation.

```
AcLa9In2
1.0
5.143 0.000 0.000
0.000 5.143 0.000
0.000 0.000 15.583
Ac La In
1 9 2
direct
0.000 0.000 0.000 Ac
0.000 0.500 0.177 La
0.000 0.500 0.500 La
0.000 0.500 0.823 La
0.500 0.000 0.177 La
0.500 0.000 0.500 La
0.500 0.000 0.823 La
0.500 0.500 0.000 La
0.500 0.500 0.342 La
0.500 0.500 0.658 La
0.000 0.000 0.339 In
0.000 0.000 0.661 In
```

* raw total energy: -4.680 eV per atom
* Fermi-level density of states: 1.436 states/eV/atom
* total magnetization: 0.00 μB per atom
* theoretical density: 6.88 g/cm3



Entry 3:
## KNd2BO5 (PBE-GGA)

Data for KNd2BO5 after structural relaxation.

```
KNd2BO5
1.0
6.703 0.000 0.000
0.000 6.703 0.000
0.000 0.000 5.330
K Nd B O
2 4 2 10
direct
0.000 0.000 0.000 K
0.500 0.500 0.000 K
0.180 0.320 0.500 Nd
0.320 0.820 0.500 Nd
0.680 0.180 0.500 Nd
0.820 0.680 0.500 Nd
0.000 0.500 0.000 B
0.500 0.000 0.000 B
0.000 0.000 0.500 O
0.119 0.619 0.215 O
0.119 0.619 0.785 O
0.381 0.119 0.215 O
0.381 0.119 0.785 O
0.500 0.500 0.500 O
0.619 0.881 0.215 O
0.619 0.881 0.785 O
0.881 0.381 0.215 O
0.881 0.381 0.785 O
```

* formation energy from raw total energies: -22.07 eV per formula unit
* raw total energy: -7.131 eV per atom
* Fermi-level density of states: 0.000 states/eV/atom
* total magnetization: 0.00 μB per atom
* theoretical density: 5.80 g/cm3



Entry 4:
## CaDyY (PBE-GGA)

Data for CaDyY after structural relaxation.

```
CaDyY
1.0
3.624 0.000 0.000
-1.812 3.139 0.000
0.000 0.000 9.105
Ca Dy Y
1 1 1
direct
0.000 0.000 0.000 Ca
0.667 0.333 0.347 Dy
0.333 0.667 0.652 Y
```

* raw total energy: -4.282 eV per atom
* Fermi-level density of states: 1.787 states/eV/atom
* total magnetization: 0.00 μB per atom
* theoretical density: 4.67 g/cm3



Entry 5:
## CaPbS2O6 (PBE-GGA)

Data for CaPbS2O6 after structural relaxation.

```
CaPbS2O6
1.0
2.717 1.568 6.036
-2.717 1.568 6.036
0.000 -3.137 6.036
Ca Pb S O
1 1 2 6
direct
0.000 0.000 0.000 Ca
0.500 0.500 0.500 Pb
0.284 0.284 0.284 S
0.716 0.716 0.716 S
0.016 0.200 0.534 O
0.200 0.534 0.016 O
0.466 0.984 0.800 O
0.534 0.016 0.200 O
0.800 0.466 0.984 O
0.984 0.800 0.466 O
```

* formation energy from raw total energies: -16.69 eV per formula unit
* raw total energy: -6.040 eV per atom
* Fermi-level density of states: 0.000 states/eV/atom
* total magnetization: 0.00 μB per atom
* theoretical density: 4.38 g/cm3



Entry 6:
## PmTh2Hg3 (PBE-GGA)

Data for PmTh2Hg3 after structural relaxation.

```
PmTh2Hg3
1.0
3.813 0.000 0.000
0.000 3.813 0.000
0.000 0.000 11.500
Pm Th Hg
1 2 3
direct
0.000 0.000 0.000 Pm
0.000 0.000 0.333 Th
0.000 0.000 0.667 Th
0.500 0.500 0.161 Hg
0.500 0.500 0.500 Hg
0.500 0.500 0.839 Hg
```

* raw total energy: -3.703 eV per atom
* Fermi-level density of states: 1.031 states/eV/atom
* total magnetization: 0.01 μB per atom
* theoretical density: 12.02 g/cm3